# CrNiSe2, optimized geometry, DFT PBE
data_CrNiSe2
_chemical_formula_sum 'Cr1 Ni1 Se2'
_cell_length_a 4.417
_cell_length_b 4.417
_cell_length_c 3.188
_cell_angle_alpha 90.00
_cell_angle_beta 90.00
_cell_angle_gamma 90.00
_symmetry_space_group_name_H-M 'P 4/m m m'
_symmetry_Int_Tables_number 123
_symmetry_space_group_name_Hall '-P 4 2'
loop_
_atom_site_label
_atom_site_type_symbol
_atom_site_fract_x
_atom_site_fract_y
_atom_site_fract_z
Cr1 Cr 0.000 0.000 0.000
Ni1 Ni 0.500 0.500 0.000
Se1 Se 0.000 0.500 0.500
# Relative energy among the computed polymorphs in meV/atom: 406
# Size of the total moment in μB/atom: 0.84
# Electronic total energy in eV/atom: -5.542
# Density of states at the Fermi level in states/eV per atom: 0.459
# Formation energy without anion corrections in meV per atom: 51

# Sm4Tl2Zn, optimized geometry, DFT PBE
data_Sm4Tl2Zn
_chemical_formula_sum 'Sm8 Tl4 Zn2'
_cell_length_a 17.120
_cell_length_b 3.712
_cell_length_c 7.468
_cell_angle_alpha 90.00
_cell_angle_beta 115.85
_cell_angle_gamma 90.00
_symmetry_space_group_name_H-M 'C 1 2/m 1'
_symmetry_Int_Tables_number 12
loop_
_symmetry_equiv_pos_as_xyz
'x,y,z'
'-x,-y,-z'
'-x,y,-z'
'x,-y,z'
'x+1/2,y+1/2,z'
'-x+1/2,-y+1/2,-z'
'-x+1/2,y+1/2,-z'
'x+1/2,-y+1/2,z'
loop_
_atom_site_label
_atom_site_type_symbol
_atom_site_fract_x
_atom_site_fract_y
_atom_site_fract_z
Sm1 Sm 0.089 0.000 0.441
Sm2 Sm 0.117 0.500 0.903
Tl1 Tl 0.242 0.000 0.293
Zn1 Zn 0.000 0.000 0.000
# Relative energy among the computed polymorphs in meV/atom: 59
# Size of the total moment in μB/atom: 0.00
# Electronic total energy in eV/atom: -3.715
# Density of states at the Fermi level in states/eV per atom: 1.077
# Formation energy in eV/atom: -0.1603

# Ac5NdGe4, optimized geometry, DFT PBE
data_Ac5NdGe4
_chemical_formula_sum 'Ac10 Nd2 Ge8'
_cell_length_a 20.740
_cell_length_b 4.608
_cell_length_c 8.405
_cell_angle_alpha 90.00
_cell_angle_beta 113.89
_cell_angle_gamma 90.00
_symmetry_space_group_name_H-M 'C 1 2/m 1'
_symmetry_Int_Tables_number 12
loop_
_symmetry_equiv_pos_as_xyz
'x,y,z'
'-x,-y,-z'
'-x,y,-z'
'x,-y,z'
'x+1/2,y+1/2,z'
'-x+1/2,-y+1/2,-z'
'-x+1/2,y+1/2,-z'
'x+1/2,-y+1/2,z'
loop_
_atom_site_label
_atom_site_type_symbol
_atom_site_fract_x
_atom_site_fract_y
_atom_site_fract_z
Ac1 Ac 0.000 0.000 0.000
Ac2 Ac 0.163 0.500 0.412
Ac3 Ac 0.163 0.500 0.911
Nd1 Nd 0.000 0.000 0.500
Ge1 Ge 0.000 0.500 0.261
Ge2 Ge 0.192 0.000 0.691
# Size of the total moment in μB/atom: 0.00
# Electronic total energy in eV/atom: -4.903
# Density of states at the Fermi level in states/eV per atom: 0.703
# Formation energy in eV/atom: -0.5247

# CaAlBr, optimized geometry, DFT PBE
data_CaAlBr
_chemical_formula_sum 'Ca1 Al1 Br1'
_cell_length_a 3.7567
_cell_length_b 3.7567
_cell_length_c 8.2887
_cell_angle_alpha 90.00
_cell_angle_beta 90.00
_cell_angle_gamma 120.00
_symmetry_space_group_name_H-M 'P 3 m 1'
_symmetry_Int_Tables_number 156
loop_
_symmetry_equiv_pos_as_xyz
'x,y,z'
'-y,x-y,z'
'-x+y,-x,z'
'-y,-x,z'
'-x+y,y,z'
'x,x-y,z'
loop_
_atom_site_label
_atom_site_type_symbol
_atom_site_fract_x
_atom_site_fract_y
_atom_site_fract_z
Ca1 Ca 0.0000 0.0000 0.0000
Al1 Al 0.6667 0.3333 0.2917
Br1 Br 0.3333 0.6667 0.7783
# Size of the total moment in μB/atom: 0.00
# Electronic total energy in eV/atom: -2.971
# Density of states at the Fermi level in states/eV per atom: 0.547
# Formation energy without anion corrections in meV per atom: -498

# Ti4CSe3, optimized geometry, DFT PBE
data_Ti4CSe3
_chemical_formula_sum 'Ti8 C2 Se6'
_cell_length_a 7.057
_cell_length_b 6.571
_cell_length_c 6.664
_cell_angle_alpha 90.00
_cell_angle_beta 90.00
_cell_angle_gamma 90.00
_symmetry_space_group_name_H-M 'P m n 21'
_symmetry_Int_Tables_number 31
loop_
_symmetry_equiv_pos_as_xyz
'x,y,z'
'-x+1/2,-y,z+1/2'
'-x,y,z'
'x+1/2,-y,z+1/2'
loop_
_atom_site_label
_atom_site_type_symbol
_atom_site_fract_x
_atom_site_fract_y
_atom_site_fract_z
Ti1 Ti 0.000 0.135 0.000
Ti2 Ti 0.000 0.851 0.347
Ti3 Ti 0.237 0.756 0.895
C1 C 0.000 0.830 0.042
Se1 Se 0.000 0.125 0.619
Se2 Se 0.237 0.612 0.538
# Size of the total moment in μB/atom: 0.00
# Electronic total energy in eV/atom: -7.021
# Density of states at the Fermi level in states/eV per atom: 1.011
# Formation energy without anion corrections in meV per atom: -614

# Co5Ag3H12, optimized geometry, DFT PBE
data_Co5Ag3H12
_chemical_formula_sum 'Co40 Ag24 H96'
_cell_length_a 10.637
_cell_length_b 10.637
_cell_length_c 10.637
_cell_angle_alpha 90.00
_cell_angle_beta 90.00
_cell_angle_gamma 90.00
_symmetry_space_group_name_H-M 'I a -3 d'
_symmetry_Int_Tables_number 230
_symmetry_space_group_name_Hall '-I 4bd 2c 3'
loop_
_atom_site_label
_atom_site_type_symbol
_atom_site_fract_x
_atom_site_fract_y
_atom_site_fract_z
Co1 Co 0.000 0.000 0.000
Co2 Co 0.000 0.250 0.375
Ag1 Ag 0.000 0.250 0.125
H1 H 0.034 0.052 0.640
# Size of the total moment in μB/atom: 0.15
# Electronic total energy in eV/atom: -3.947
# Density of states at the Fermi level in states/eV per atom: 0.390

# TcSnIr2Pd, optimized geometry, DFT PBE
data_TcSnIr2Pd
_chemical_formula_sum 'Tc1 Sn1 Ir2 Pd1'
_cell_length_a 4.818
_cell_length_b 4.818
_cell_length_c 4.780
_cell_angle_alpha 90.00
_cell_angle_beta 90.00
_cell_angle_gamma 90.00
_symmetry_space_group_name_H-M 'P 4/m m m'
_symmetry_Int_Tables_number 123
_symmetry_space_group_name_Hall '-P 4 2'
loop_
_atom_site_label
_atom_site_type_symbol
_atom_site_fract_x
_atom_site_fract_y
_atom_site_fract_z
Tc1 Tc 0.000 0.000 0.000
Sn1 Sn 0.500 0.500 0.000
Ir1 Ir 0.000 0.500 0.500
Pd1 Pd 0.500 0.500 0.500
# Size of the total moment in μB/atom: 0.93
# Electronic total energy in eV/atom: -5.598
# Density of states at the Fermi level in states/eV per atom: 1.398
# Formation energy in eV/atom: 1.8589

# C2SeS, optimized geometry, DFT PBE
data_C2SeS
_chemical_formula_sum 'C8 Se4 S4'
_cell_length_a 5.238
_cell_length_b 5.238
_cell_length_c 7.086
_cell_angle_alpha 90.00
_cell_angle_beta 90.00
_cell_angle_gamma 90.00
_symmetry_space_group_name_H-M 'I -4 2 d'
_symmetry_Int_Tables_number 122
_symmetry_space_group_name_Hall 'I -4 2bw'
loop_
_atom_site_label
_atom_site_type_symbol
_atom_site_fract_x
_atom_site_fract_y
_atom_site_fract_z
C1 C 0.181 0.250 0.125
Se1 Se 0.000 0.000 0.500
S1 S 0.000 0.000 0.000
# Relative energy among the computed polymorphs in meV/atom: 0
# Size of the total moment in μB/atom: 0.00
# Electronic total energy in eV/atom: -4.613
# Density of states at the Fermi level in states/eV per atom: 0.195
# Formation energy without anion corrections in meV per atom: 1902

# TlHgSb4, optimized geometry, DFT PBE
data_TlHgSb4
_chemical_formula_sum 'Tl4 Hg4 Sb16'
_cell_length_a 8.985
_cell_length_b 8.985
_cell_length_c 8.985
_cell_angle_alpha 90.00
_cell_angle_beta 90.00
_cell_angle_gamma 90.00
_symmetry_space_group_name_H-M 'F -4 3 m'
_symmetry_Int_Tables_number 216
_symmetry_space_group_name_Hall 'F -4 2 3'
loop_
_atom_site_label
_atom_site_type_symbol
_atom_site_fract_x
_atom_site_fract_y
_atom_site_fract_z
Tl1 Tl 0.000 0.000 0.000
Hg1 Hg 0.250 0.250 0.750
Sb1 Sb 0.124 0.124 0.376
# Size of the total moment in μB/atom: 0.00
# Electronic total energy in eV/atom: -3.070
# Density of states at the Fermi level in states/eV per atom: 0.395
# Formation energy without anion corrections in meV per atom: 122

# CeY12Ho7, optimized geometry, DFT PBE
data_CeY12Ho7
_chemical_formula_sum 'Ce3 Y36 Ho21'
_cell_length_a 13.3637
_cell_length_b 13.3637
_cell_length_c 12.5199
_cell_angle_alpha 90.00
_cell_angle_beta 90.00
_cell_angle_gamma 120.00
_symmetry_space_group_name_H-M 'R -3 m'
_symmetry_Int_Tables_number 166
_symmetry_space_group_name_Hall '-R 3 2"'
loop_
_atom_site_label
_atom_site_type_symbol
_atom_site_fract_x
_atom_site_fract_y
_atom_site_fract_z
Ce1 Ce 0.0000 0.0000 0.0000
Y1 Y 0.0000 0.2616 0.5000
Y2 Y 0.0892 0.1785 0.2641
Ho1 Ho 0.0000 0.0000 0.5000
Ho2 Ho 0.0397 0.5198 0.6231
# Relative energy among the computed polymorphs in meV/atom: 0
# Size of the total moment in μB/atom: 0.22
# Electronic total energy in eV/atom: -5.667
# Density of states at the Fermi level in states/eV per atom: 2.145
# Formation energy in eV/atom: 0.1103